VASP calculation (SCAN) on HoZrOs2 at its PBEsol-relaxed geometry.

Cell lengths 6.5734, 6.5734, 6.5734 Å; angles 90.00, 90.00, 90.00 degrees
With the nearest neighbours (Å) after each atom.
Space group Fm-3m (No. 225)
One atom of each set of equivalent atoms:
Ho1 0.0000 0.0000 0.0000  8 Os 2.85
Zr1 0.0000 0.0000 0.5000  8 Os 2.85
Os1 0.2500 0.2500 0.2500  4 Zr 2.85, 4 Ho 2.85

## Properties
The calculation puts the raw total energy at -225.52 eV per formula unit. The calculation puts the spin magnetization at 0.00 μB per cell.